A relaxed PmScCd3 crystal, computed with PBE.

For the density of states at the Fermi level, the calculation gives 4.79 states/eV/f.u. The value obtained for the energy of formation is -283 meV/atom.

a = 3.3857 Å, b = 29.2080 Å, c = 4.9366 Å
α = 90.00°, β = 90.00°, γ = 90.00°
Space group Cmcm (No. 63)
One atom of each set of equivalent atoms:
Pm 0.0000 0.0765 0.2500
Sc 0.0000 0.2166 0.7500
Cd 0.0000 0.3180 0.7500
Cd 0.0000 0.3730 0.2500
Cd 0.0000 0.4748 0.2500